Entry 1:
A plane-wave DFT calculation with PBE was carried out for an optimized crystal structure of LaCu3Ni.

Structure (POSCAR):
```
LaCu3Ni
1.0
5.1150 0.0000 0.0000
0.0000 5.1150 0.0000
0.0000 0.0000 5.1150
La Cu Ni
1 3 1
Direct
0.0000 0.0000 0.0000
0.0000 0.0000 0.5000
0.0000 0.5000 0.0000
0.5000 0.0000 0.0000
0.5000 0.5000 0.5000
```

---

Entry 2:
A plane-wave DFT calculation with PBE was carried out for an optimized crystal structure of ZnCuHg3.

Structure (POSCAR):
```
ZnCuHg3
1.0
5.1943 0.0000 0.0000
0.0000 5.1943 0.0000
0.0000 0.0000 5.1943
Zn Cu Hg
1 1 3
Direct
0.0000 0.0000 0.0000
0.5000 0.5000 0.5000
0.0000 0.5000 0.5000
0.5000 0.0000 0.5000
0.5000 0.5000 0.0000
```

---

Entry 3:
A plane-wave DFT calculation with PBE was carried out for an optimized crystal structure of Nd8Dy3Ho3.

Structure (POSCAR):
```
Nd8Dy3Ho3
1.0
-2.8436 5.4585 7.6068
2.8436 -5.4585 7.6068
2.8436 5.4585 -7.6068
Nd Dy Ho
8 3 3
Direct
0.0589 0.3961 0.6628
0.0670 0.2245 0.8425
0.2667 0.6039 0.6628
0.3819 0.2245 0.1575
0.6181 0.7755 0.8425
0.7333 0.3961 0.3372
0.9330 0.7755 0.1575
0.9411 0.6039 0.3372
0.3203 0.8203 0.5000
0.5000 0.5000 0.0000
0.6797 0.1797 0.5000
0.0000 0.0000 0.0000
0.3021 0.0000 0.3021
0.6979 0.0000 0.6979
```

---

Ordered energy of formation from the pure elements results: 37.698 5.911 2.495; unit kcal/mol of atoms.